Arrangement 1

8
Lattice="3.4395 1.9858 6.3195 -3.4395 1.9858 6.3195 0.0000 -3.9716 6.3195" Properties=species:S:1:pos:R:3 comment="LaYCl6 | Alexandria via LeMat-Bulk | PBE | optimized geometry" dos_at_fermi_per_ev_atom=0.000 pbc="T T T"
La 0.0000 0.0000 0.0000
Y 0.0000 0.0000 9.4793
Cl -2.1734 0.0792 7.9446
Cl -1.1553 -1.8426 11.0141
Cl 1.0181 -1.9218 7.9446
Cl -1.0181 1.9218 11.0141
Cl 1.1553 1.8426 7.9445
Cl 2.1734 -0.0792 11.0141

---

Arrangement 2

8
Lattice="3.5277 -6.1009 0.0000 3.5277 6.1009 0.0000 -0.1069 0.0000 7.4227" Properties=species:S:1:pos:R:3 comment="LaYCl6 | Alexandria via LeMat-Bulk | PBE | optimized geometry" dos_at_fermi_per_ev_atom=0.000 pbc="T T T"
La 0.0000 0.0000 0.0000
Y -0.0534 0.0000 3.7114
Cl 4.4606 -4.3474 5.4721
Cl 2.4879 4.3474 1.9506
Cl 4.4606 4.3474 5.4721
Cl 1.9960 0.0000 1.9937
Cl 2.4879 -4.3474 1.9506
Cl 4.9525 0.0000 5.4290

---

Relative calculated energies, zero for the most stable structure, unit meV per atom: arrangement 1 0; arrangement 2 44.

---

Arrangement 1

8
Lattice="-4.3641 4.3641 2.7686 4.3641 -4.3641 2.7686 4.3641 4.3641 -2.7686" Properties=species:S:1:pos:R:3 comment="LaZn2Cl | Alexandria via LeMat-Bulk | PBE | optimized geometry" dos_at_fermi_per_ev_atom=0.875 pbc="T T T"
La 0.0000 0.0000 0.0000
La 0.0000 4.3641 1.3843
Zn 2.1821 2.2220 -0.6921
Zn 6.5063 2.1821 0.6921
Zn 2.1821 2.1422 2.0764
Zn -2.1422 2.1821 3.4607
Cl 4.3641 0.0000 1.3843
Cl 0.0000 0.0000 2.7686

---

Arrangement 2

4
Lattice="3.7177 0.0000 0.0000 0.0000 6.0256 0.0000 -0.0804 0.0000 4.3008" Properties=species:S:1:pos:R:3 comment="LaZn2Cl | Alexandria via LeMat-Bulk | PBE | optimized geometry" dos_at_fermi_per_ev_atom=0.694 pbc="T T T"
La 0.0000 0.0000 0.0000
Zn 0.8724 3.0128 3.2758
Zn 2.7649 3.0128 1.0249
Cl 1.8187 0.0000 2.1504

---

Relative calculated energies, zero for the most stable structure, unit meV per atom: arrangement 1 109; arrangement 2 0.

---

Arrangement 1

8
Lattice="-2.4081 2.4081 9.4601 2.4081 -2.4081 9.4601 2.4081 2.4081 -9.4601" Properties=species:S:1:pos:R:3 comment="LaZnCl2 | Alexandria via LeMat-Bulk | PBE | optimized geometry" dos_at_fermi_per_ev_atom=0.616 pbc="T T T"
La 0.0000 0.0000 0.0000
La 0.0000 2.4081 4.7301
Zn 2.4081 0.0000 4.7301
Zn 0.0000 0.0000 9.4601
Cl 3.6121 1.0950 -2.3650
Cl 1.0950 1.2040 2.3650
Cl -1.2040 1.3131 7.0951
Cl 1.3131 1.2040 11.8252

---

Arrangement 2

4
Lattice="5.1761 0.0000 0.0000 0.0000 2.1439 4.9895 0.0000 -2.1439 4.9895" Properties=species:S:1:pos:R:3 comment="LaZnCl2 | Alexandria via LeMat-Bulk | PBE | optimized geometry" dos_at_fermi_per_ev_atom=0.581 pbc="T T T"
La 0.0000 0.0000 0.0000
Zn 2.5880 0.0000 5.8473
Cl 0.0000 0.0000 2.8486
Cl 2.5880 0.0000 8.7939

---

Arrangement 3

4
Lattice="1.9778 1.1419 10.9252 -1.9778 1.1419 10.9252 0.0000 -2.2838 10.9252" Properties=species:S:1:pos:R:3 comment="LaZnCl2 | Alexandria via LeMat-Bulk | PBE | optimized geometry" dos_at_fermi_per_ev_atom=0.654 pbc="T T T"
La 0.0000 0.0000 0.0000
Zn 0.0000 0.0000 16.3877
Cl 0.0000 0.0000 9.1448
Cl 0.0000 0.0000 23.6307

---

Relative calculated energies, zero for the most stable structure, unit meV per atom: arrangement 1 149; arrangement 2 25; arrangement 3 0.

---

Arrangement 1

4
Lattice="4.8616 -1.9752 0.0000 4.8616 1.9752 0.0000 -1.5634 0.0000 5.3905" Properties=species:S:1:pos:R:3 comment="LaZnCl2 | Alexandria via LeMat-Bulk | PBE | optimized geometry" dos_at_fermi_per_ev_atom=0.571 pbc="T T T"
La 0.0000 0.0000 0.0000
Zn 4.0799 0.0000 2.6953
Cl 1.4786 0.0000 4.2497
Cl 6.6812 0.0000 1.1408

---

Arrangement 2

4
Lattice="4.2234 0.0000 0.0000 0.0000 4.3135 0.0000 0.0000 0.0000 5.1023" Properties=species:S:1:pos:R:3 comment="LaZnCl2 | Alexandria via LeMat-Bulk | PBE | optimized geometry" dos_at_fermi_per_ev_atom=0.617 pbc="T T T"
La 0.0000 0.0000 0.0000
Zn 2.1117 0.0000 2.5511
Cl 0.0000 2.1567 2.5511
Cl 2.1117 2.1567 0.0000

---

Relative calculated energies, zero for the most stable structure, unit meV per atom: arrangement 1 0; arrangement 2 65.

---

Arrangement 1

4
Lattice="-2.1058 2.1058 5.2768 2.1058 -2.1058 5.2768 2.1058 2.1058 -5.2768" Properties=species:S:1:pos:R:3 comment="LaZnCl2 | Alexandria via LeMat-Bulk | PBE | optimized geometry" dos_at_fermi_per_ev_atom=0.667 pbc="T T T"
La 0.0000 0.0000 0.0000
Zn 2.1058 0.0000 2.6384
Cl 0.0000 0.0000 5.2768
Cl 0.0000 2.1058 2.6384

---

Arrangement 2

4
Lattice="3.9275 0.0000 0.0000 0.0000 3.9275 0.0000 0.0000 0.0000 6.1456" Properties=species:S:1:pos:R:3 comment="LaZnCl2 | Alexandria via LeMat-Bulk | PBE | optimized geometry" dos_at_fermi_per_ev_atom=0.526 pbc="T T T"
La 0.0000 0.0000 0.0000
Zn 1.9638 1.9638 1.8650
Cl 0.0000 0.0000 2.8348
Cl 1.9638 1.9638 4.7632

---

Arrangement 3

4
Lattice="4.1611 0.0000 0.0000 0.0000 4.5207 0.0000 -1.4640 0.0000 6.3781" Properties=species:S:1:pos:R:3 comment="LaZnCl2 | Alexandria via LeMat-Bulk | PBE | optimized geometry" dos_at_fermi_per_ev_atom=0.323 pbc="T T T"
La 0.0000 0.0000 0.0000
Zn 1.3486 0.0000 3.1891
Cl -0.5519 2.2604 4.9307
Cl 3.2490 2.2604 1.4474

---

Relative calculated energies, zero for the most stable structure, unit meV per atom: arrangement 1 39; arrangement 2 0; arrangement 3 27.

---

Arrangement 1

4
Lattice="0.0000 3.6505 3.6505 3.6505 0.0000 3.6505 3.6505 3.6505 0.0000" Properties=species:S:1:pos:R:3 comment="LaZnCl2 | Alexandria via LeMat-Bulk | PBE | optimized geometry" dos_at_fermi_per_ev_atom=1.157 pbc="T T T"
La 0.0000 0.0000 0.0000
Zn 1.8252 1.8252 1.8252
Cl 3.6505 3.6505 3.6505
Cl 5.4757 5.4757 5.4757

---

Arrangement 2

4
Lattice="3.5832 0.0000 0.0000 0.0000 3.5832 0.0000 0.0000 0.0000 9.4238" Properties=species:S:1:pos:R:3 comment="LaZnCl2 | Alexandria via LeMat-Bulk | PBE | optimized geometry" dos_at_fermi_per_ev_atom=0.352 pbc="T T T"
La 0.0000 0.0000 0.0000
Zn 0.0000 0.0000 4.7119
Cl 1.7916 1.7916 1.6178
Cl 1.7916 1.7916 7.8059

---

Relative calculated energies, zero for the most stable structure, unit meV per atom: arrangement 1 391; arrangement 2 0.